VASP calculation (PBE) on a relaxed structure of PmP12Os4.

Values from the calculation:
V   267 Å³/cell
Final energy   -124.601 eV/cell
Energy of formation   -0.589 eV/atom

Unit cell a=7.0301 b=7.0301 c=7.0301 alpha=109.47 beta=109.47 gamma=109.47
Closest atoms and distances in Å follow each position.
Positions (direct):
Pm 0.0000 0.0000 0.0000  12 P 3.12
P 0.8570 0.3570 0.2139  2 P 2.32, 2 Os 2.37
P 0.3570 0.5000 0.1430  2 P 2.32, 2 Os 2.37
P 0.7861 0.1430 0.6430  2 P 2.32, 2 Os 2.37
P 0.3570 0.2139 0.8570  2 P 2.32, 2 Os 2.37
P 0.2139 0.8570 0.3570  2 P 2.32, 2 Os 2.37
P 0.6430 0.5000 0.8570  2 P 2.32, 2 Os 2.37
P 0.5000 0.1430 0.3570  2 P 2.32, 2 Os 2.37
P 0.5000 0.8570 0.6430  2 P 2.32, 2 Os 2.37
P 0.6430 0.7861 0.1430  2 P 2.32, 2 Os 2.37
P 0.8570 0.6430 0.5000  2 P 2.32, 2 Os 2.37
P 0.1430 0.3570 0.5000  2 P 2.32, 2 Os 2.37
P 0.1430 0.6430 0.7861  2 P 2.32, 2 Os 2.37
Os 0.0000 0.5000 0.0000  6 P 2.37
Os 0.5000 0.0000 0.0000  6 P 2.37
Os 0.5000 0.5000 0.5000  6 P 2.37
Os 0.0000 0.0000 0.5000  6 P 2.37


VASP calculation (PBE) on a relaxed structure of Ca2TlAg.

Values from the calculation:
V   220 Å³/cell
Final energy   -21.410 eV/cell
Energy of formation   -0.371 eV/atom

Unit cell a=3.8459 b=5.3219 c=10.7301 alpha=90.00 beta=90.00 gamma=90.00
Closest atoms and distances in Å follow each position.
Positions (direct):
Ca 0.0000 0.2500 0.1202  6 Ag 3.20-3.28, 2 Tl 3.42
Ca 0.0000 0.7500 0.8798  6 Ag 3.20-3.28, 2 Tl 3.42
Ca 0.0000 0.2500 0.6390  2 Ag 3.24, 6 Tl 3.29-3.35
Ca 0.0000 0.7500 0.3610  2 Ag 3.24, 6 Tl 3.29-3.35
Tl 0.5000 0.2500 0.3835  8 Ca 3.29-3.42, 2 Tl 3.65
Tl 0.5000 0.7500 0.6165  8 Ca 3.29-3.42, 2 Tl 3.65
Ag 0.5000 0.2500 0.8824  8 Ca 3.20-3.28
Ag 0.5000 0.7500 0.1176  8 Ca 3.20-3.28